Entry 1:
# Pa3Co9Si2B

A geometry-optimized Pa3Co9Si2B structure (PBE, Alexandria).

Properties
**E_form (uncorrected)**: -0.30 eV per atom
**Raw total energy**: -7.627 eV/atom

Unit cell a=6.2364 b=6.2364 c=6.3061 alpha=90.00 beta=90.00 gamma=120.00
Closest atoms and distances in Å follow each position.
Space group P-3m1 (No. 164)
Inequivalent atoms, fractional coordinates:
Pa 0.0000 0.0000 0.0000 x1  6 Co 2.52
Pa 0.3333 0.6667 0.6813 x2  3 Co 2.70, 1 Si 2.92
Co 0.0000 0.5000 0.0000 x3  2 Si 2.26
Co 0.1410 0.2819 0.3189 x6  1 B 1.90
Si 0.3333 0.6667 0.2179 x2  6 Co 2.17-2.26
B 0.0000 0.0000 0.5000 x1  6 Co 1.90

Entry 2:
# Ac2SnHgAu6

A geometry-optimized Ac2SnHgAu6 structure (PBE, Alexandria).

Properties
**Calculated formation energy**: -0.462 eV per atom
**Raw total energy**: -3.681 eV/atom

Unit cell a=5.5443 b=7.1702 c=7.4810 alpha=80.22 beta=68.53 gamma=67.44
Closest atoms and distances in Å follow each position.
Space group P-1 (No. 2)
Inequivalent atoms, fractional coordinates:
Ac 0.0230 0.2313 0.2215 x2  7 Au 3.28-3.41, 2 Hg 3.61
Sn 0.5000 0.0000 0.5000 x1  6 Au 2.81-2.87
Hg 0.5000 0.5000 0.0000 x1  6 Au 2.82-2.95
Au 0.0012 0.2193 0.7768 x2  3 Au 2.77-3.01, 1 Sn 2.83, 1 Hg 2.83
Au 0.3258 0.4286 0.4210 x2  1 Sn 2.87, 1 Hg 2.95, 6 Au 3.01-3.15
Au 0.4996 0.2183 0.7791 x2  3 Au 2.77-3.02, 1 Sn 2.81, 1 Hg 2.82

Entry 3:
# GeBi2PRh

A geometry-optimized GeBi2PRh structure (PBE, Alexandria).

Properties
**Calculated formation energy**: 0.314 eV per atom
**Raw total energy**: -4.715 eV/atom

Unit cell a=5.5864 b=5.5864 c=4.2637 alpha=90.00 beta=90.00 gamma=90.00
Closest atoms and distances in Å follow each position.
Space group P4/mmm (No. 123)
Inequivalent atoms, fractional coordinates:
Ge 0.0000 0.0000 0.0000 x1  8 Bi 3.51
Bi 0.0000 0.5000 0.5000 x2  2 Rh 2.79
P 0.5000 0.5000 0.0000 x1  2 Rh 2.13
Rh 0.5000 0.5000 0.5000 x1  2 P 2.13

Entry 4:
# Be2SiAu

A geometry-optimized Be2SiAu structure (PBE, Alexandria).

Properties
**E_form (uncorrected)**: 0.18 eV per atom
**Raw total energy**: -3.857 eV/atom

Unit cell a=5.0003 b=6.9520 c=2.8829 alpha=90.00 beta=90.00 gamma=90.00
Closest atoms and distances in Å follow each position.
Space group Cmmm (No. 65)
Inequivalent atoms, fractional coordinates:
Be 0.2500 0.2500 0.0000 x4  2 Be 2.50, 4 Si 2.58, 4 Au 2.58
Si 0.0000 0.0000 0.5000 x2  2 Au 2.50, 8 Be 2.58
Au 0.0000 0.5000 0.5000 x2  2 Si 2.50, 8 Be 2.58

Entry 5:
# Cs3TlPd2Cl9

A geometry-optimized Cs3TlPd2Cl9 structure (PBE, Alexandria).

Properties
**E_form (uncorrected)**: -1.17 eV per atom
**Raw total energy**: -3.296 eV/atom

Unit cell a=7.3982 b=7.3982 c=9.1066 alpha=90.00 beta=90.00 gamma=120.00
Closest atoms and distances in Å follow each position.
Space group P-3m1 (No. 164)
Inequivalent atoms, fractional coordinates:
Cs 0.0000 0.0000 0.0000 x1  12 Cl 3.64-3.70
Cs 0.3333 0.6667 0.6685 x2  12 Cl 3.70-3.81
Tl 0.0000 0.0000 0.5000 x1  6 Cl 2.84
Pd 0.3333 0.6667 0.1510 x2  6 Cl 2.48-2.54
Cl 0.0000 0.5000 0.0000 x3  2 Pd 2.54
Cl 0.1775 0.3550 0.3126 x6  1 Pd 2.48

Entry 6:
# Be2SbOs

A geometry-optimized Be2SbOs structure (PBE, Alexandria).

Properties
**E_form (uncorrected)**: 0.36 eV per atom
**Raw total energy**: -5.342 eV/atom

Unit cell a=3.8045 b=3.8045 c=7.4333 alpha=90.00 beta=90.00 gamma=90.00
Closest atoms and distances in Å follow each position.
Space group I4/mmm (No. 139)
Inequivalent atoms, fractional coordinates:
Be 0.0000 0.5000 0.2500 x4  4 Sb 2.66, 4 Os 2.66, 4 Be 2.69
Sb 0.0000 0.0000 0.0000 x2  8 Be 2.66, 4 Os 2.69
Os 0.0000 0.0000 0.5000 x2  8 Be 2.66, 4 Sb 2.69

Entry 7:
# HgPtAu2

A geometry-optimized HgPtAu2 structure (PBE, Alexandria).

Properties
**Calculated formation energy**: 0.014 eV per atom
**Raw total energy**: -3.211 eV/atom

Unit cell a=4.1543 b=4.1543 c=4.1964 alpha=90.00 beta=90.00 gamma=90.00
Closest atoms and distances in Å follow each position.
Space group P4/mmm (No. 123)
Inequivalent atoms, fractional coordinates:
Hg 0.0000 0.0000 0.0000 x1  4 Pt 2.94, 8 Au 2.95
Pt 0.5000 0.5000 0.0000 x1  4 Hg 2.94, 8 Au 2.95
Au 0.0000 0.5000 0.5000 x2  4 Au 2.94, 4 Hg 2.95, 4 Pt 2.95

Entry 8:
# AlZn9Ag2

A geometry-optimized AlZn9Ag2 structure (PBE, Alexandria).

Properties
**Calculated formation energy**: 0.018 eV per atom
**Raw total energy**: -1.725 eV/atom

Unit cell a=3.9479 b=3.9479 c=11.9807 alpha=90.00 beta=90.00 gamma=90.00
Closest atoms and distances in Å follow each position.
Space group P4/mmm (No. 123)
Inequivalent atoms, fractional coordinates:
Al 0.0000 0.0000 0.0000 x1  12 Zn 2.77-2.79
Zn 0.0000 0.5000 0.1618 x4  2 Al 2.77, 8 Zn 2.77-2.87, 2 Ag 2.82
Zn 0.0000 0.5000 0.5000 x2  8 Zn 2.79, 4 Ag 2.84
Zn 0.5000 0.5000 0.0000 x1  8 Zn 2.77, 4 Al 2.79
Zn 0.5000 0.5000 0.3357 x2  8 Zn 2.79-2.87, 4 Ag 2.79
Ag 0.0000 0.0000 0.3296 x2  12 Zn 2.79-2.84

Entry 9:
# Pr6Si2Pb

A geometry-optimized Pr6Si2Pb structure (PBE, Alexandria).

Properties
**E_form (uncorrected)**: -0.50 eV per atom
**Raw total energy**: -5.305 eV/atom

Unit cell a=9.8430 b=10.2030 c=10.8168 alpha=90.00 beta=90.00 gamma=90.00
Closest atoms and distances in Å follow each position.
Space group Immm (No. 71)
Inequivalent atoms, fractional coordinates:
Pr 0.0000 0.2089 0.2370 x8  2 Si 3.10-3.40, 1 Pb 3.33
Pr 0.2054 0.5000 0.1815 x8  3 Si 3.02-3.08
Pr 0.2198 0.3099 0.5000 x8  3 Si 3.14-3.37, 1 Pb 3.37
Si 0.0000 0.3791 0.0000 x4  1 Si 2.47
Si 0.0000 0.5000 0.3896 x4  1 Si 2.39
Pb 0.0000 0.0000 0.0000 x2  8 Pr 3.33-3.37
Pb 0.0000 0.0000 0.5000 x2  12 Pr 3.50-3.83

Entry 10:
# TaAlZn2

A geometry-optimized TaAlZn2 structure (PBE, Alexandria).

Properties
**Calculated formation energy**: 0.028 eV per atom
**Raw total energy**: -4.507 eV/atom

Unit cell a=3.2899 b=4.2102 c=9.1511 alpha=90.00 beta=90.00 gamma=90.00
Closest atoms and distances in Å follow each position.
Space group Imm2 (No. 44)
Inequivalent atoms, fractional coordinates:
Ta 0.0000 0.0000 0.0000 x2  6 Zn 2.67-2.84, 2 Al 2.88
Al 0.0000 0.5000 0.2419 x2  6 Zn 2.67-2.85, 2 Ta 2.88
Zn 0.0000 0.0000 0.4877 x2  4 Ta 2.67, 2 Zn 2.70, 2 Al 2.85
Zn 0.0000 0.5000 0.7531 x2  4 Al 2.67, 2 Zn 2.70, 2 Ta 2.84

Entry 11:
# SrNd2Te4

A geometry-optimized SrNd2Te4 structure (PBE, Alexandria).

Properties
**E_form (uncorrected)**: -1.50 eV per atom
**Raw total energy**: -4.900 eV/atom

Unit cell a=4.5186 b=14.8297 c=15.5629 alpha=90.00 beta=90.00 gamma=90.00
Closest atoms and distances in Å follow each position.
Space group Cmcm (No. 63)
Inequivalent atoms, fractional coordinates:
Sr 0.0000 0.1136 0.2500 x4  6 Te 3.28-3.47
Nd 0.0000 0.3654 0.0690 x8  6 Te 3.10-3.23
Te 0.0000 0.0000 0.0000 x4  4 Nd 3.20
Te 0.0000 0.2735 0.6192 x8  3 Nd 3.16-3.23, 2 Sr 3.47
Te 0.0000 0.4531 0.2500 x4  2 Nd 3.10, 2 Sr 3.28

Entry 12:
# SrTl2PbBr6

A geometry-optimized SrTl2PbBr6 structure (PBE, Alexandria).

Properties
**E_form (uncorrected)**: -1.25 eV per atom
**Raw total energy**: -3.271 eV/atom

Unit cell a=7.8514 b=8.4234 c=13.8001 alpha=90.00 beta=123.99 gamma=90.00
Closest atoms and distances in Å follow each position.
Space group P2_1/c (No. 14)
Inequivalent atoms, fractional coordinates:
Sr 0.0000 0.0000 0.0000 x2  6 Br 3.06-3.07
Tl 0.2858 0.0828 0.7546 x4  6 Br 3.31-3.66
Pb 0.5000 0.0000 0.5000 x2  6 Br 3.05-3.06
Br 0.1199 0.0430 0.2514 x4  1 Pb 3.06, 1 Sr 3.07, 2 Tl 3.31-3.40
Br 0.2505 0.6925 0.0662 x4  1 Pb 3.05, 1 Sr 3.07, 1 Tl 3.38
Br 0.3803 0.1908 0.0626 x4  1 Pb 3.05, 1 Sr 3.06, 1 Tl 3.34